Entry 1:
# Er2InGaPt4 | the Open Quantum Materials Database | PBE | relaxed
data_Er2InGaPt4
_chemical_formula_sum 'Er2 In1 Ga1 Pt4'
_space_group_name_H-M_alt 'P -3 m 1'
_space_group_IT_number 164
_space_group_name_Hall '-P 3 2"'
_cell_length_a 4.4705
_cell_length_b 4.4705
_cell_length_c 9.0323
_cell_angle_alpha 90.00
_cell_angle_beta 90.00
_cell_angle_gamma 120.00
loop_
_atom_site_label
_atom_site_fract_x
_atom_site_fract_y
_atom_site_fract_z
Er1 0.3333 0.6667 0.2447
In1 0.0000 0.0000 0.5000
Ga1 0.0000 0.0000 0.0000
Pt1 0.3333 0.6667 0.5968
Pt2 0.3333 0.6667 0.9160
# Total energy ... -47.22 eV/cell

Entry 2:
# ErInGaTe3 | the Open Quantum Materials Database | PBE | relaxed
data_ErInGaTe3
_chemical_formula_sum 'Er4 In4 Ga4 Te12'
_space_group_name_H-M_alt 'C m c m'
_space_group_IT_number 63
_space_group_name_Hall '-C 2c 2'
_cell_length_a 4.491
_cell_length_b 14.974
_cell_length_c 11.435
_cell_angle_alpha 90.00
_cell_angle_beta 90.00
_cell_angle_gamma 90.00
loop_
_atom_site_label
_atom_site_fract_x
_atom_site_fract_y
_atom_site_fract_z
Er1 0.000 0.000 0.000
In1 0.000 0.247 0.250
Ga1 0.000 0.464 0.750
Te1 0.000 0.080 0.750
Te2 0.000 0.362 0.549
# Total energy ... -94.10 eV/cell